Material: SrTeMo2O8
Method: DFT, PBE+U
State: relaxed

## Properties
Space group: P-1
Uncorrected energy: -0.4792 Ry per atom

```
SrTeMo2O8
1.0
4.9959 0.0000 0.0000
0.2488 4.9926 0.0000
0.2474 0.2345 6.7123
Sr Te Mo O
1 1 2 8
Direct
0.0000 0.0000 0.0000 Sr
0.0000 0.0000 0.5000 Te
0.4877 0.4878 0.2478 Mo
0.5123 0.5122 0.7522 Mo
0.2069 0.7569 0.7261 O
0.2448 0.7948 0.2738 O
0.3105 0.3120 0.4926 O
0.3311 0.3330 0.0172 O
0.6689 0.6670 0.9828 O
0.6895 0.6880 0.5074 O
0.7552 0.2052 0.7262 O
0.7931 0.2431 0.2739 O
```